The following is a PBE-GGA calculation of a geometry-optimized PrTi2Rh2 structure, from Alexandria.

Summary:
M_tot   0.0 μB per formula unit
E_form   -0.644 eV/atom
Calculated volume   19.89 A^3/atom
Fermi-level density of states   9.58 states/eV/cell
Density   7.39 g/cm3

abc: 4.2999 4.2999 10.7570
angles: 90.00 90.00 90.00
Last column: nearest neighbours and their distance in Å.
Space group I4/mmm (No. 139)
Inequivalent atoms, fractional coordinates:
Pr 0.0000 0.0000 0.0000 x2  8 Rh 3.33, 8 Ti 3.44
Ti 0.0000 0.5000 0.2500 x4  4 Rh 2.53
Rh 0.0000 0.0000 0.3748 x4  4 Ti 2.53, 1 Rh 2.69



The following is a PBE-GGA calculation of a geometry-optimized PrTi3Rh3 structure, from Alexandria.

Summary:
M_tot   1.3 μB per formula unit
E_form   -0.034 eV/atom
Calculated volume   22.60 A^3/atom
Fermi-level density of states   21.98 states/eV/cell
Density   6.23 g/cm3

abc: 6.8142 6.8142 6.8142
angles: 90.00 90.00 90.00
Last column: nearest neighbours and their distance in Å.
Space group Pm-3n (No. 223)
Inequivalent atoms, fractional coordinates:
Pr 0.0000 0.0000 0.0000 x2  12 Rh 3.81, 12 Ti 3.81
Ti 0.0000 0.2500 0.5000 x6  4 Rh 2.41
Rh 0.0000 0.5000 0.2500 x6  4 Ti 2.41



The following is a PBE-GGA calculation of a geometry-optimized Pr3Tl2Rh structure, from Alexandria.

Summary:
M_tot   0.0 μB per formula unit
E_form   -0.449 eV/atom
Calculated volume   29.86 A^3/atom
Fermi-level density of states   19.30 states/eV/cell
Excess energy over the best structure of this formula in the dataset   0.0 meV per atom
Density   8.66 g/cm3

abc: 13.2812 4.1460 13.0133
angles: 90.00 90.00 90.00
Last column: nearest neighbours and their distance in Å.
Space group Pnma (No. 62)
Inequivalent atoms, fractional coordinates:
Pr 0.0374 0.2500 0.1238 x4  5 Tl 3.19-3.36, 1 Rh 3.54
Pr 0.1173 0.7500 0.5364 x4  2 Rh 2.94, 2 Tl 3.28
Pr 0.2481 0.2500 0.7831 x4  2 Rh 2.87
Tl 0.0052 0.2500 0.6950 x4  2 Rh 2.93, 4 Pr 3.19-3.28
Tl 0.1857 0.7500 0.9980 x4  1 Rh 2.87
Rh 0.1341 0.2500 0.3769 x4  3 Tl 2.87-2.93, 4 Pr 2.87-2.94



The following is a PBE-GGA calculation of a geometry-optimized Pr2Tl3Rh2 structure, from Alexandria.

Summary:
M_tot   0.0 μB per formula unit
E_form   -0.425 eV/atom
Calculated volume   25.84 A^3/atom
Fermi-level density of states   7.20 states/eV/cell
Density   10.10 g/cm3

abc: 4.2180 21.7236 3.9486
angles: 90.00 90.00 90.00
Last column: nearest neighbours and their distance in Å.
Space group Cmmm (No. 65)
Inequivalent atoms, fractional coordinates:
Pr 0.0000 0.1754 0.0000 x4  6 Rh 2.98-3.20
Tl 0.0000 0.0000 0.0000 x2  8 Tl 3.36
Tl 0.0000 0.4209 0.5000 x4  1 Rh 2.81
Rh 0.0000 0.2916 0.5000 x4  2 Rh 2.78, 1 Tl 2.81, 4 Pr 2.98



The following is a PBE-GGA calculation of a geometry-optimized Pr2TlRh3 structure, from Alexandria.

Summary:
M_tot   0.0 μB per formula unit
E_form   -0.259 eV/atom
Calculated volume   22.60 A^3/atom
Fermi-level density of states   6.87 states/eV/cell
Density   9.73 g/cm3

abc: 4.7904 5.5868 10.1328
angles: 90.00 90.00 90.00
Last column: nearest neighbours and their distance in Å.
Space group Immm (No. 71)
Inequivalent atoms, fractional coordinates:
Pr 0.0000 0.0000 0.1797 x4  6 Rh 2.82-3.02
Tl 0.0000 0.0000 0.5000 x2  6 Rh 2.78-2.79
Rh 0.0000 0.5000 0.1383 x4  2 Tl 2.78, 1 Rh 2.80, 4 Pr 2.82-3.02
Rh 0.0000 0.5000 0.5000 x2  2 Tl 2.79, 4 Pr 3.01



The following is a PBE-GGA calculation of a geometry-optimized Pr7TlRh2 structure, from Alexandria.

Summary:
M_tot   0.0 μB per formula unit
E_form   -0.174 eV/atom
Calculated volume   35.48 A^3/atom
Fermi-level density of states   17.90 states/eV/cell
Density   6.54 g/cm3

abc: 9.3160 14.1613 5.3794
angles: 90.00 90.00 90.00
Last column: nearest neighbours and their distance in Å.
Space group Cmmm (No. 65)
Inequivalent atoms, fractional coordinates:
Pr 0.0000 0.0000 0.0000 x2  2 Rh 2.85
Pr 0.0000 0.2104 0.5000 x4  2 Rh 2.69
Pr 0.1825 0.3723 0.0000 x8  2 Rh 2.96-3.14
Tl 0.0000 0.5000 0.5000 x2  8 Pr 3.66
Rh 0.0000 0.2014 0.0000 x4  5 Pr 2.69-2.96



The following is a PBE-GGA calculation of a geometry-optimized PrTl2Rh structure, from Alexandria.

Summary:
M_tot   0.0 μB per formula unit
E_form   0.203 eV/atom
Calculated volume   26.76 A^3/atom
Fermi-level density of states   12.37 states/eV/cell
Density   10.12 g/cm3

abc: 3.4156 3.4156 31.7848
angles: 90.00 90.00 120.00
Last column: nearest neighbours and their distance in Å.
Space group R-3m (No. 166, hexagonal axes)
Inequivalent atoms, fractional coordinates:
Pr 0.0000 0.0000 0.0000 x3  2 Tl 3.27, 6 Pr 3.42
Tl 0.0000 0.0000 0.1029 x6  3 Rh 2.83
Rh 0.0000 0.0000 0.5000 x3  6 Tl 2.83



The following is a PBE-GGA calculation of a geometry-optimized Pr3Tl2Rh4 structure, from Alexandria.

Summary:
M_tot   0.0 μB per formula unit
E_form   -0.346 eV/atom
Calculated volume   23.07 A^3/atom
Fermi-level density of states   24.14 states/eV/cell
Density   9.94 g/cm3

abc: 13.4956 10.6069 5.8549
angles: 90.00 97.79 90.00
Last column: nearest neighbours and their distance in Å.
Space group C2/c (No. 15)
Inequivalent atoms, fractional coordinates:
Pr 0.0000 0.1147 0.2500 x4  4 Rh 2.89-2.90
Pr 0.1071 0.3869 0.9563 x8  6 Rh 2.81-3.07
Tl 0.1819 0.1127 0.6928 x8  6 Rh 2.87-3.17
Rh 0.1025 0.3364 0.4470 x8  2 Rh 2.89-3.05, 5 Pr 2.89-3.02, 2 Tl 2.90-3.17
Rh 0.2086 0.1554 0.2027 x8  3 Pr 2.81-3.07, 4 Tl 2.87-2.99, 2 Rh 2.89-3.05



Question: Which of these has the highest Fermi-level density of states?
Answer: Pr3Tl2Rh4



Question: Among the records above, which one has the lowest E_form?
Answer: PrTi2Rh2



What did the first record say?
The following is a PBE-GGA calculation of a geometry-optimized PrTi2Rh2 structure, from Alexandria.

Summary:
M_tot   0.0 μB per formula unit
E_form   -0.644 eV/atom
Calculated volume   19.89 A^3/atom
Fermi-level density of states   9.58 states/eV/cell
Density   7.39 g/cm3

abc: 4.2999 4.2999 10.7570
angles: 90.00 90.00 90.00
Last column: nearest neighbours and their distance in Å.
Space group I4/mmm (No. 139)
Inequivalent atoms, fractional coordinates:
Pr 0.0000 0.0000 0.0000 x2  8 Rh 3.33, 8 Ti 3.44
Ti 0.0000 0.5000 0.2500 x4  4 Rh 2.53
Rh 0.0000 0.0000 0.3748 x4  4 Ti 2.53, 1 Rh 2.69